Record 1
A plane-wave DFT calculation with PBE was carried out for a relaxed Rb2TeI6N crystal.

Unit cell a=8.1154 b=8.1154 c=8.0752 alpha=59.84 beta=59.84 gamma=90.00
Element x y z (fractional)
I1 0.2689 0.2689 0.4622
I2 0.7311 0.7311 0.5378
I3 0.2662 0.2662 0.0000
I4 0.7338 0.7338 0.0000
I5 0.7338 0.2662 0.0000
I6 0.2662 0.7338 0.0000
Te1 0.0000 0.0000 0.0000
Rb1 0.7500 0.2500 0.5000
Rb2 0.2500 0.7500 0.5000
N1 0.5000 0.5000 0.0000

total magnetic moment: 0.000 μB/atom
uncorrected formation energy: -20.96 kJ per mole of atoms

=====

Record 2
A plane-wave DFT calculation with PBE was carried out for a relaxed RbTeIN2 crystal.

Unit cell a=5.2095 b=5.2095 c=7.2829 alpha=90.00 beta=90.00 gamma=90.00
Each line ends with the local moment (μB).
Element x y z (fractional)
I1 0.0000 0.0000 0.5000  0.01
Te1 0.5000 0.5000 0.5000  0.17
Rb1 0.0000 0.0000 0.0000  0.10
N1 0.0000 0.5000 0.0000  1.72
N2 0.5000 0.0000 0.0000  1.72

total magnetic moment: 1.137 μB/atom
uncorrected formation energy: 183.91 kJ per mole of atoms
relative energy among the computed polymorphs: 933 meV/atom

=====

Record 3
A plane-wave DFT calculation with PBE was carried out for a relaxed RbTeIN2 crystal.

Unit cell a=4.5001 b=4.5001 c=6.7002 alpha=90.00 beta=90.00 gamma=90.00
Each line ends with the local moment (μB).
Element x y z (fractional)
I1 0.0000 0.0000 0.5000  -0.02
Te1 0.0000 0.0000 0.0000  -0.02
Rb1 0.5000 0.5000 0.5000  0.00
N1 0.0000 0.5000 0.0000  0.67
N2 0.5000 0.0000 0.0000  0.67

total magnetic moment: 0.381 μB/atom
uncorrected formation energy: 93.90 kJ per mole of atoms
relative energy among the computed polymorphs: 0 meV/atom

=====

Record 4
A plane-wave DFT calculation with PBE was carried out for a relaxed RbTeIN2 crystal.

Unit cell a=4.8422 b=4.8422 c=6.0670 alpha=90.00 beta=90.00 gamma=90.00
Each line ends with the local moment (μB).
Element x y z (fractional)
I1 0.0000 0.0000 0.0000  0.00
Te1 0.0000 0.0000 0.5000  0.17
Rb1 0.5000 0.5000 0.5000  0.01
N1 0.0000 0.5000 0.0000  1.00
N2 0.5000 0.0000 0.0000  1.00

total magnetic moment: 0.662 μB/atom
uncorrected formation energy: 147.70 kJ per mole of atoms
relative energy among the computed polymorphs: 558 meV/atom

=====

Record 5
A plane-wave DFT calculation with PBE was carried out for a relaxed Rb2TiI6N crystal.

Unit cell a=8.8693 b=8.8693 c=8.1262 alpha=56.93 beta=56.93 gamma=90.00
Each line ends with the local moment (μB).
Element x y z (fractional)
I1 0.2754 0.2754 0.4493  0.08
I2 0.7246 0.7246 0.5507  0.08
I3 0.2223 0.2223 0.0000  0.02
I4 0.7777 0.7777 0.0000  0.02
I5 0.7777 0.2223 0.0000  0.02
I6 0.2223 0.7777 0.0000  0.02
N1 0.5000 0.5000 0.0000  1.12
Rb1 0.7500 0.2500 0.5000  0.00
Rb2 0.2500 0.7500 0.5000  0.00
Ti1 0.0000 0.0000 0.0000  -0.35

total magnetic moment: 0.157 μB/atom
uncorrected formation energy: -40.17 kJ per mole of atoms

=====

Record 6
A plane-wave DFT calculation with PBE was carried out for a relaxed RbVI2N crystal.

Unit cell a=5.9878 b=5.9878 c=3.7820 alpha=90.00 beta=90.00 gamma=90.00
Each line ends with the local moment (μB).
Element x y z (fractional)
I1 0.0000 0.5000 0.0000  -0.04
I2 0.5000 0.0000 0.0000  -0.04
N1 0.0000 0.0000 0.5000  -0.28
Rb1 0.5000 0.5000 0.5000  0.00
V1 0.0000 0.0000 0.0000  1.31

total magnetic moment: 0.199 μB/atom
uncorrected formation energy: -44.73 kJ per mole of atoms
relative energy among the computed polymorphs: 0 meV/atom

=====

Record 7
A plane-wave DFT calculation with PBE was carried out for a relaxed RbVIN2 crystal.

Unit cell a=4.2447 b=4.2447 c=5.6567 alpha=90.00 beta=90.00 gamma=90.00
Each line ends with the local moment (μB).
Element x y z (fractional)
I1 0.0000 0.0000 0.5000  0.05
N1 0.0000 0.5000 0.0000  0.82
N2 0.5000 0.0000 0.0000  0.82
Rb1 0.5000 0.5000 0.5000  0.00
V1 0.0000 0.0000 0.0000  -1.32

total magnetic moment: 0.199 μB/atom
uncorrected formation energy: 41.86 kJ per mole of atoms
relative energy among the computed polymorphs: 0 meV/atom

=====

Record 8
A plane-wave DFT calculation with PBE was carried out for a relaxed Rb2VI6N crystal.

Unit cell a=8.7740 b=8.7740 c=8.0900 alpha=57.16 beta=57.16 gamma=90.00
Each line ends with the local moment (μB).
Element x y z (fractional)
I1 0.2751 0.2751 0.4499  -0.08
I2 0.7249 0.7249 0.5501  -0.08
I3 0.2198 0.2198 0.0000  -0.01
I4 0.7802 0.7802 0.0000  -0.01
I5 0.7802 0.2198 0.0000  -0.01
I6 0.2198 0.7802 0.0000  -0.01
N1 0.5000 0.5000 0.0000  -1.25
Rb1 0.7500 0.2500 0.5000  0.00
Rb2 0.2500 0.7500 0.5000  0.00
V1 0.0000 0.0000 0.0000  0.15

total magnetic moment: 0.200 μB/atom
uncorrected formation energy: -22.81 kJ per mole of atoms

=====

Record 9
A plane-wave DFT calculation with PBE was carried out for a relaxed RbVIN2 crystal.

Unit cell a=5.1499 b=5.1499 c=7.4597 alpha=90.00 beta=90.00 gamma=90.00
Each line ends with the local moment (μB).
Element x y z (fractional)
I1 0.0000 0.0000 0.5000  -0.02
N1 0.0000 0.5000 0.0000  1.59
N2 0.5000 0.0000 0.0000  1.59
Rb1 0.0000 0.0000 0.0000  0.10
V1 0.5000 0.5000 0.5000  3.25

total magnetic moment: 1.813 μB/atom
uncorrected formation energy: 220.27 kJ per mole of atoms
relative energy among the computed polymorphs: 1849 meV/atom

=====

Record 10
A plane-wave DFT calculation with PBE was carried out for a relaxed RbVI2N crystal.

Unit cell a=6.6797 b=6.6797 c=5.2225 alpha=90.00 beta=90.00 gamma=90.00
Each line ends with the local moment (μB).
Element x y z (fractional)
I1 0.0000 0.5000 0.0000  -0.07
I2 0.5000 0.0000 0.0000  -0.07
N1 0.0000 0.0000 0.5000  -1.70
Rb1 0.0000 0.0000 0.0000  -0.05
V1 0.5000 0.5000 0.5000  3.25

total magnetic moment: 0.200 μB/atom
uncorrected formation energy: 125.52 kJ per mole of atoms
relative energy among the computed polymorphs: 1765 meV/atom

=====

Record 11
A plane-wave DFT calculation with PBE was carried out for a relaxed RbWIN2 crystal.

Unit cell a=4.1959 b=4.1959 c=5.7461 alpha=90.00 beta=90.00 gamma=90.00
Each line ends with the local moment (μB).
Element x y z (fractional)
I1 0.0000 0.0000 0.5000  0.00
Rb1 0.5000 0.5000 0.5000  0.00
W1 0.0000 0.0000 0.0000  0.15
N1 0.0000 0.5000 0.0000  -0.08
N2 0.5000 0.0000 0.0000  -0.08

total magnetic moment: 0.005 μB/atom
uncorrected formation energy: 38.97 kJ per mole of atoms
relative energy among the computed polymorphs: 0 meV/atom

=====

Record 12
A plane-wave DFT calculation with PBE was carried out for a relaxed RbWI2N crystal.

Unit cell a=6.6573 b=6.6573 c=5.2411 alpha=90.00 beta=90.00 gamma=90.00
Each line ends with the local moment (μB).
Element x y z (fractional)
I1 0.0000 0.5000 0.0000  -0.10
I2 0.5000 0.0000 0.0000  -0.10
Rb1 0.0000 0.0000 0.0000  -0.05
W1 0.5000 0.5000 0.5000  3.57
N1 0.0000 0.0000 0.5000  -1.76

total magnetic moment: 0.400 μB/atom
uncorrected formation energy: 199.62 kJ per mole of atoms
relative energy among the computed polymorphs: 2210 meV/atom

=====

Record 13
A plane-wave DFT calculation with PBE was carried out for a relaxed RbWIN2 crystal.

Unit cell a=4.2732 b=4.2732 c=6.1567 alpha=90.00 beta=90.00 gamma=90.00
Each line ends with the local moment (μB).
Element x y z (fractional)
I1 0.0000 0.0000 0.5000  -0.01
Rb1 0.0000 0.0000 0.0000  -0.02
W1 0.5000 0.5000 0.5000  0.12
N1 0.0000 0.5000 0.0000  -0.17
N2 0.5000 0.0000 0.0000  -0.17

total magnetic moment: 0.068 μB/atom
uncorrected formation energy: 334.86 kJ per mole of atoms
relative energy among the computed polymorphs: 3067 meV/atom

=====

Record 14
A plane-wave DFT calculation with PBE was carried out for a relaxed RbWI2N crystal.

Unit cell a=5.9548 b=5.9548 c=3.9194 alpha=90.00 beta=90.00 gamma=90.00
Each line ends with the local moment (μB).
Element x y z (fractional)
I1 0.0000 0.5000 0.0000  0.01
I2 0.5000 0.0000 0.0000  0.01
Rb1 0.5000 0.5000 0.5000  0.00
W1 0.0000 0.0000 0.0000  0.97
N1 0.0000 0.0000 0.5000  -0.10

total magnetic moment: 0.230 μB/atom
uncorrected formation energy: -13.66 kJ per mole of atoms
relative energy among the computed polymorphs: 0 meV/atom

=====

Record 15
A plane-wave DFT calculation with PBE was carried out for a relaxed RbYIN2 crystal.

Unit cell a=4.6339 b=4.6339 c=6.0319 alpha=90.00 beta=90.00 gamma=90.00
Each line ends with the local moment (μB).
Element x y z (fractional)
I1 0.0000 0.0000 0.5000  0.00
Y1 0.5000 0.5000 0.5000  -0.15
Rb1 0.0000 0.0000 0.0000  -0.01
N1 0.0000 0.5000 0.0000  0.50
N2 0.5000 0.0000 0.0000  0.50

total magnetic moment: 0.236 μB/atom
uncorrected formation energy: 161.68 kJ per mole of atoms
relative energy among the computed polymorphs: 1571 meV/atom

=====

Record 16
A plane-wave DFT calculation with PBE was carried out for a relaxed RbYIN2 crystal.

Unit cell a=4.7766 b=4.7766 c=6.2604 alpha=90.00 beta=90.00 gamma=90.00
Each line ends with the local moment (μB).
Element x y z (fractional)
I1 0.0000 0.0000 0.5000  0.05
Y1 0.0000 0.0000 0.0000  -0.05
Rb1 0.5000 0.5000 0.5000  0.00
N1 0.0000 0.5000 0.0000  0.96
N2 0.5000 0.0000 0.0000  0.96

total magnetic moment: 0.600 μB/atom
uncorrected formation energy: 10.05 kJ per mole of atoms
relative energy among the computed polymorphs: 0 meV/atom

=====

Record 17
A plane-wave DFT calculation with PBE was carried out for a relaxed Rb2YI6N crystal.

Unit cell a=9.1880 b=9.1880 c=8.4398 alpha=57.02 beta=57.02 gamma=90.00
Each line ends with the local moment (μB).
Element x y z (fractional)
I1 0.2874 0.2874 0.4253  0.09
I2 0.7126 0.7126 0.5747  0.09
I3 0.2308 0.2308 0.0000  0.02
I4 0.7692 0.7692 0.0000  0.02
I5 0.7692 0.2308 0.0000  0.02
I6 0.2308 0.7692 0.0000  0.02
Y1 0.0000 0.0000 0.0000  0.00
Rb1 0.7500 0.2500 0.5000  0.00
Rb2 0.2500 0.7500 0.5000  0.00
N1 0.5000 0.5000 0.0000  1.13

total magnetic moment: 0.209 μB/atom
uncorrected formation energy: -63.71 kJ per mole of atoms

=====

Record 18
A plane-wave DFT calculation with PBE was carried out for a relaxed RbZnIN2 crystal.

Unit cell a=5.6702 b=5.6702 c=7.1970 alpha=90.00 beta=90.00 gamma=90.00
Each line ends with the local moment (μB).
Element x y z (fractional)
I1 0.0000 0.0000 0.5000  0.03
Zn1 0.5000 0.5000 0.5000  0.01
Rb1 0.0000 0.0000 0.0000  0.05
N1 0.0000 0.5000 0.0000  1.74
N2 0.5000 0.0000 0.0000  1.74

total magnetic moment: 1.099 μB/atom
uncorrected formation energy: 173.07 kJ per mole of atoms
relative energy among the computed polymorphs: 764 meV/atom

=====

Record 19
A plane-wave DFT calculation with PBE was carried out for a relaxed RbZnIN2 crystal.

Unit cell a=4.5978 b=4.5978 c=5.9132 alpha=90.00 beta=90.00 gamma=90.00
Each line ends with the local moment (μB).
Element x y z (fractional)
I1 0.0000 0.0000 0.5000  0.08
Zn1 0.0000 0.0000 0.0000  -0.01
Rb1 0.5000 0.5000 0.5000  0.01
N1 0.0000 0.5000 0.0000  1.28
N2 0.5000 0.0000 0.0000  1.28

total magnetic moment: 0.800 μB/atom
uncorrected formation energy: 99.32 kJ per mole of atoms
relative energy among the computed polymorphs: 0 meV/atom

=====

Record 20
A plane-wave DFT calculation with PBE was carried out for a relaxed Rb2ZnI6N crystal.

Unit cell a=7.7833 b=7.7833 c=7.9398 alpha=60.65 beta=60.65 gamma=90.00
Element x y z (fractional)
I1 0.2712 0.2712 0.4576
I2 0.7288 0.7288 0.5424
I3 0.2558 0.2558 0.0000
I4 0.7442 0.7442 0.0000
I5 0.7442 0.2558 0.0000
I6 0.2558 0.7442 0.0000
Zn1 0.0000 0.0000 0.0000
Rb1 0.7500 0.2500 0.5000
Rb2 0.2500 0.7500 0.5000
N1 0.5000 0.5000 0.0000

total magnetic moment: 0.000 μB/atom
uncorrected formation energy: -21.82 kJ per mole of atoms